# 1
Material: Rb7Na2Hg2
Method: DFT, GGA-PBE
State: relaxed

The structure in POSCAR format:
```
Rb7Na2Hg2
1.0
7.255 -5.263 0.000
7.255 5.263 0.000
-0.013 0.000 9.476
Rb Na Hg
7 2 2
Direct
0.000 0.000 0.000
0.000 0.500 0.265
0.000 0.500 0.735
0.500 0.000 0.265
0.500 0.000 0.735
0.500 0.500 0.236
0.500 0.500 0.764
0.158 0.842 0.500
0.842 0.158 0.500
0.284 0.284 0.000
0.716 0.716 0.000
```

The symmetry is C2/m (12). Its calculated volume is 723.76 Å³/cell. The theoretical density is 2.40 Mg/m³.

=====

# 2
Material: Rb2Na3Hg4
Method: DFT, GGA-PBE
State: relaxed

The structure in POSCAR format:
```
Rb2Na3Hg4
1.0
3.448 -9.444 0.000
3.448 9.444 0.000
0.000 0.000 9.684
Rb Na Hg
4 6 8
Direct
0.111 0.889 0.910
0.389 0.611 0.410
0.611 0.389 0.590
0.889 0.111 0.090
0.000 0.000 0.500
0.033 0.467 0.750
0.467 0.033 0.250
0.500 0.500 0.000
0.533 0.967 0.750
0.967 0.533 0.250
0.186 0.814 0.529
0.199 0.301 0.750
0.301 0.199 0.250
0.314 0.686 0.029
0.686 0.314 0.971
0.699 0.801 0.750
0.801 0.699 0.250
0.814 0.186 0.471
```

The symmetry is Cmce (64). Its calculated volume is 630.63 Å³/cell. The theoretical density is 5.49 Mg/m³.

=====

# 3
Material: Rb2Na2Hg
Method: DFT, GGA-PBE
State: relaxed

The structure in POSCAR format:
```
Rb2Na2Hg
1.0
2.601 -10.801 0.000
2.601 10.801 0.000
0.000 0.000 9.295
Rb Na Hg
4 4 2
Direct
0.056 0.944 0.500
0.266 0.734 0.798
0.734 0.266 0.298
0.944 0.056 0.000
0.124 0.876 0.088
0.415 0.585 0.347
0.585 0.415 0.847
0.876 0.124 0.588
0.449 0.551 0.692
0.551 0.449 0.192
```

The symmetry is Cmc2_1 (36). Its calculated volume is 522.31 Å³/cell. The theoretical density is 2.65 Mg/m³.

=====

Values of energy relative to the lowest polymorph listed for this composition, in order: 0 28 0, all in meV/atom.
Values of energy of formation from the pure elements, in order: -0.0296 -0.1843 -0.0888, all in eV/atom.